(1)
The following is a GGA-PBE calculation of a geometry-optimized CaSnTe2I structure, from Alexandria via LeMat-Bulk.

The structure in POSCAR format:
```
CaSnTe2I
1.0
-1.777 -3.778 -3.993
5.001 0.631 -2.823
2.321 -4.397 3.129
Te Ca I Sn
2 1 1 1
Direct
0.500 0.000 0.000
0.000 0.500 0.000
0.500 0.500 0.500
0.000 0.000 0.500
0.000 0.000 0.000
```

Output
crystal system: tetragonal
space-group type: P4/mmm (123)
offset from the most stable computed form: 0 meV per atom
N(E_F): 1.8 states/eV per cell
ΔE_f (raw): -347.2 meV/atom

(2)
The following is a GGA-PBE calculation of a geometry-optimized HoTmSc5 structure, from Alexandria via LeMat-Bulk.

The structure in POSCAR format:
```
HoTmSc5
1.0
-2.024 4.609 0.354
-3.060 -1.046 -3.874
-5.278 -2.694 4.896
Sc Ho Tm
5 1 1
Direct
0.500 0.000 0.227
0.500 0.000 0.773
0.500 0.500 0.500
0.000 0.500 0.227
0.000 0.500 0.773
0.000 0.000 0.500
0.500 0.500 0.000
```

Output
energy of formation: 0.37 eV per atom
crystal system: tetragonal
space-group type: P4/mmm (123)
N(E_F): 11.3 states/eV per cell

(3)
The following is a GGA-PBE calculation of a geometry-optimized BaSbPb2 structure, from Alexandria via LeMat-Bulk.

The structure in POSCAR format:
```
BaSbPb2
1.0
6.093 -0.001 0.022
4.448 4.164 0.022
1.813 0.716 5.631
Sb Pb Ba
1 2 1
Direct
0.488 0.488 0.583
0.757 0.757 0.733
0.010 0.010 0.932
0.244 0.244 0.252
```

Output
crystal system: monoclinic
space-group type: Cm (8)
N(E_F): 1.8 states/eV per cell
ΔE_f (raw): -419.8 meV/atom

(4)
The following is a GGA-PBE calculation of a geometry-optimized Zr4TlC structure, from Alexandria via LeMat-Bulk.

The structure in POSCAR format:
```
Zr4TlC
1.0
3.304 0.000 0.000
0.000 5.075 -1.206
0.000 -0.858 7.906
C Zr Tl
1 4 1
Direct
0.000 0.000 0.000
0.000 0.073 0.733
0.500 0.306 0.095
0.500 0.694 0.905
0.000 0.927 0.267
0.500 0.500 0.500
```

Output
energy of formation: -0.24 eV per atom
crystal system: monoclinic
space-group type: P2/m (10)
offset from the most stable computed form: 0 meV per atom
N(E_F): 3.9 states/eV per cell

(5)
The following is a GGA-PBE calculation of a geometry-optimized Rb2HfPbBr6 structure, from Alexandria via LeMat-Bulk.

The structure in POSCAR format:
```
Rb2HfPbBr6
1.0
-2.560 -3.742 -6.589
7.308 0.617 -3.190
3.982 -7.222 -2.300
Br Pb Rb Hf
6 1 2 1
Direct
0.709 0.709 0.583
0.267 0.733 0.000
0.267 0.267 0.000
0.733 0.733 0.000
0.733 0.267 0.000
0.291 0.291 0.417
0.000 0.000 0.000
0.750 0.250 0.500
0.250 0.750 0.500
0.500 0.500 0.000
```

Output
crystal system: tetragonal
space-group type: I4/mmm (139)
N(E_F): 6.1 states/eV per cell
ΔE_f (raw): -1161.6 meV/atom

(6)
The following is a GGA-PBE calculation of a geometry-optimized YErAsS structure, from Alexandria via LeMat-Bulk.

The structure in POSCAR format:
```
YErAsS
1.0
3.940 -0.001 0.000
-1.970 3.413 0.000
-1.968 -1.137 6.916
Er S Y As
1 1 1 1
Direct
0.310 0.553 0.878
0.475 0.135 0.626
0.962 0.379 0.356
0.131 0.963 0.110
```

Output
crystal system: trigonal
space-group type: R3m (160)
N(E_F): 2.7 states/eV per cell
ΔE_f (raw): -1674.9 meV/atom

(7)
The following is a GGA-PBE calculation of a geometry-optimized AgIrCl2 structure, from Alexandria via LeMat-Bulk.

The structure in POSCAR format:
```
AgIrCl2
1.0
9.437 0.179 0.106
8.729 3.591 0.106
8.729 1.812 3.103
Ir Cl Ag
1 2 1
Direct
0.250 0.250 0.250
0.967 0.967 0.967
0.533 0.533 0.533
0.750 0.750 0.750
```

Output
crystal system: trigonal
space-group type: R-3m (166)
offset from the most stable computed form: 401 meV per atom
N(E_F): 2.6 states/eV per cell
ΔE_f (raw): 435.9 meV/atom

(8)
The following is a GGA-PBE calculation of a geometry-optimized Tb2Sc3Pb2 structure, from Alexandria via LeMat-Bulk.

The structure in POSCAR format:
```
Tb2Sc3Pb2
1.0
4.310 0.000 0.000
-2.155 5.885 -0.137
0.000 -2.877 7.686
Pb Tb Sc
2 2 3
Direct
0.165 0.330 0.212
0.835 0.670 0.788
0.867 0.735 0.215
0.133 0.265 0.785
0.616 0.232 0.440
0.500 0.000 0.000
0.384 0.768 0.560
```

Output
energy of formation: -0.31 eV per atom
crystal system: monoclinic
space-group type: C2/m (12)
N(E_F): 7.9 states/eV per cell

(9)
The following is a GGA-PBE calculation of a geometry-optimized LaCu4Ag8 structure, from Alexandria via LeMat-Bulk.

The structure in POSCAR format:
```
LaCu4Ag8
1.0
0.882 -5.110 0.761
2.864 -3.049 -5.746
6.486 -1.172 2.660
La Ag Cu
1 8 4
Direct
0.000 0.000 0.000
0.500 0.221 0.779
0.721 0.779 0.779
0.279 0.221 0.221
0.500 0.779 0.221
0.000 0.349 0.651
0.349 0.651 0.651
0.000 0.651 0.349
0.651 0.349 0.349
0.500 0.000 0.500
0.000 0.500 0.000
0.000 0.000 0.500
0.500 0.500 0.000
```

Output
energy of formation: -0.05 eV per atom
crystal system: tetragonal
space-group type: I4/mmm (139)
N(E_F): 6.0 states/eV per cell

(10)
The following is a GGA-PBE calculation of a geometry-optimized GaHg3C structure, from Alexandria via LeMat-Bulk.

The structure in POSCAR format:
```
GaHg3C
1.0
5.355 0.000 0.000
0.000 5.355 0.000
0.000 0.000 5.355
Hg Ga C
3 1 1
Direct
0.500 0.000 0.000
0.000 0.500 0.000
0.000 0.000 0.500
0.000 0.000 0.000
0.500 0.500 0.500
```

Output
energy of formation: 1.44 eV per atom
crystal system: cubic
space-group type: Pm-3m (221)
offset from the most stable computed form: 455 meV per atom
N(E_F): 3.6 states/eV per cell

(11)
The following is a GGA-PBE calculation of a geometry-optimized Sm6CdNi2Br3 structure, from Alexandria via LeMat-Bulk.

The structure in POSCAR format:
```
Sm6CdNi2Br3
1.0
4.033 0.000 0.000
0.000 9.095 -0.040
-2.016 -3.008 9.167
Ni Br Sm Cd
2 3 6 1
Direct
0.833 0.661 0.665
0.167 0.339 0.335
0.836 0.165 0.671
0.500 0.500 0.000
0.164 0.835 0.329
0.319 0.444 0.638
0.666 0.130 0.332
0.018 0.266 0.037
0.982 0.734 0.963
0.681 0.556 0.362
0.334 0.870 0.668
0.500 0.000 0.000
```

Output
crystal system: monoclinic
space-group type: C2/m (12)
N(E_F): 9.0 states/eV per cell
ΔE_f (raw): -723.0 meV/atom

(12)
The following is a GGA-PBE calculation of a geometry-optimized Rb2Hg4BiAu3 structure, from Alexandria via LeMat-Bulk.

The structure in POSCAR format:
```
Rb2Hg4BiAu3
1.0
4.772 0.000 0.000
0.000 4.772 0.000
0.000 0.000 12.906
Bi Hg Rb Au
1 4 2 3
Direct
0.500 0.500 0.500
0.000 0.500 0.350
0.500 0.500 0.000
0.500 0.000 0.650
0.000 0.000 0.000
0.500 0.000 0.238
0.000 0.500 0.762
0.500 0.000 0.865
0.000 0.000 0.500
0.000 0.500 0.135
```

Output
energy of formation: -0.18 eV per atom
crystal system: tetragonal
space-group type: P-4m2 (115)
N(E_F): 2.3 states/eV per cell